Entry 1:
Density functional theory data (GGA-PBEsol) for a geometry-optimized SrEuTl2 structure.

Computed properties:
As for the symmetry: Fm-3m. The calculation puts the density of states at the Fermi level at 2.498 states/eV/atom. The calculation puts the formation enthalpy at 0 K at -0.476 eV/atom. Its total energy is -4.89 eV per atom.

The structure in CIF format:
```
data_SrEuTl2
_chemical_formula_sum 'Sr4 Eu4 Tl8'
_space_group_name_H-M_alt 'P 1'
_space_group_IT_number 1
_space_group_name_Hall 'P 1'
_cell_length_a 7.888
_cell_length_b 7.888
_cell_length_c 7.888
_cell_angle_alpha 90.00
_cell_angle_beta 90.00
_cell_angle_gamma 90.00
loop_
_atom_site_label
_atom_site_type_symbol
_atom_site_fract_x
_atom_site_fract_y
_atom_site_fract_z
Sr1 Sr 0.000 0.000 0.000
Sr2 Sr 0.000 0.500 0.500
Sr3 Sr 0.500 0.000 0.500
Sr4 Sr 0.500 0.500 0.000
Eu1 Eu 0.000 0.000 0.500
Eu2 Eu 0.000 0.500 0.000
Eu3 Eu 0.500 0.000 0.000
Eu4 Eu 0.500 0.500 0.500
Tl1 Tl 0.250 0.250 0.250
Tl2 Tl 0.250 0.250 0.750
Tl3 Tl 0.250 0.750 0.250
Tl4 Tl 0.250 0.750 0.750
Tl5 Tl 0.750 0.250 0.250
Tl6 Tl 0.750 0.250 0.750
Tl7 Tl 0.750 0.750 0.250
Tl8 Tl 0.750 0.750 0.750
```


Entry 2:
Density functional theory data (GGA-PBEsol) for a geometry-optimized Sr2LiRh structure.

Computed properties:
As for the symmetry: P4/mmm. The calculation puts the density of states at the Fermi level at 0.667 states/eV/atom. The calculation puts the formation enthalpy at 0 K at -0.037 eV/atom. Its total energy is -3.48 eV per atom.

The structure in CIF format:
```
data_Sr2LiRh
_chemical_formula_sum 'Sr2 Li1 Rh1'
_space_group_name_H-M_alt 'P 1'
_space_group_IT_number 1
_space_group_name_Hall 'P 1'
_cell_length_a 3.637
_cell_length_b 3.637
_cell_length_c 8.733
_cell_angle_alpha 90.00
_cell_angle_beta 90.00
_cell_angle_gamma 90.00
loop_
_atom_site_label
_atom_site_type_symbol
_atom_site_fract_x
_atom_site_fract_y
_atom_site_fract_z
Sr1 Sr 0.000 0.000 0.196
Sr2 Sr 0.000 0.000 0.804
Li1 Li 0.500 0.500 0.500
Rh1 Rh 0.500 0.500 0.000
```


Entry 3:
Density functional theory data (GGA-PBEsol) for a geometry-optimized MgCI2N structure.

Computed properties:
As for the symmetry: P4/mmm. The value obtained for the energy relative to the elements, uncorrected is 0.763 eV per atom. The calculation puts the density of states at the Fermi level at 0.411 states/eV/atom. Its total energy is -3.92 eV per atom.

The structure in CIF format:
```
data_MgCI2N
_chemical_formula_sum 'Mg1 C1 I2 N1'
_space_group_name_H-M_alt 'P 1'
_space_group_IT_number 1
_space_group_name_Hall 'P 1'
_cell_length_a 7.004
_cell_length_b 7.004
_cell_length_c 2.672
_cell_angle_alpha 90.00
_cell_angle_beta 90.00
_cell_angle_gamma 90.00
loop_
_atom_site_label
_atom_site_type_symbol
_atom_site_fract_x
_atom_site_fract_y
_atom_site_fract_z
Mg1 Mg 0.000 0.000 0.000
C1 C 0.500 0.500 0.500
I1 I 0.000 0.500 0.500
I2 I 0.500 0.000 0.500
N1 N 0.500 0.500 0.000
```


Entry 4:
Density functional theory data (GGA-PBEsol) for a geometry-optimized Li4Nb3TeO12 structure.

Computed properties:
As for the symmetry: P1. The value obtained for the energy relative to the elements, uncorrected is -2.190 eV per atom. The calculation puts the density of states at the Fermi level at 0.142 states/eV/atom. Its total energy is -7.53 eV per atom.

The structure in CIF format:
```
data_Li4Nb3TeO12
_chemical_formula_sum 'Li4 Nb3 Te1 O12'
_space_group_name_H-M_alt 'P 1'
_space_group_IT_number 1
_space_group_name_Hall 'P 1'
_cell_length_a 5.164
_cell_length_b 5.513
_cell_length_c 7.564
_cell_angle_alpha 84.83
_cell_angle_beta 89.94
_cell_angle_gamma 89.99
loop_
_atom_site_label
_atom_site_type_symbol
_atom_site_fract_x
_atom_site_fract_y
_atom_site_fract_z
Li1 Li 0.000 0.000 0.000
Li2 Li 0.002 0.993 0.504
Li3 Li 0.497 0.485 0.997
Li4 Li 0.501 0.496 0.509
Nb1 Nb 0.503 0.935 0.714
Nb2 Nb 0.998 0.418 0.225
Nb3 Nb 0.998 0.434 0.724
Te1 Te 0.502 0.916 0.215
O1 O 0.129 0.390 0.959
O2 O 0.172 0.081 0.268
O3 O 0.193 0.713 0.637
O4 O 0.304 0.214 0.636
O5 O 0.327 0.578 0.268
O6 O 0.368 0.892 0.957
O7 O 0.636 0.887 0.462
O8 O 0.675 0.583 0.765
O9 O 0.695 0.217 0.132
O10 O 0.816 0.717 0.136
O11 O 0.823 0.085 0.765
O12 O 0.869 0.392 0.461
```


Entry 5:
Density functional theory data (GGA-PBEsol) for a geometry-optimized FeHgSb3 structure.

Computed properties:
As for the symmetry: Pm-3m. The value obtained for the energy relative to the elements, uncorrected is 0.324 eV per atom. The calculation puts the density of states at the Fermi level at 0.662 states/eV/atom. Its total energy is -4.32 eV per atom.

The structure in CIF format:
```
data_FeHgSb3
_chemical_formula_sum 'Fe1 Hg1 Sb3'
_space_group_name_H-M_alt 'P 1'
_space_group_IT_number 1
_space_group_name_Hall 'P 1'
_cell_length_a 4.910
_cell_length_b 4.910
_cell_length_c 4.910
_cell_angle_alpha 90.00
_cell_angle_beta 90.00
_cell_angle_gamma 90.00
loop_
_atom_site_label
_atom_site_type_symbol
_atom_site_fract_x
_atom_site_fract_y
_atom_site_fract_z
Fe1 Fe 0.000 0.000 0.000
Hg1 Hg 0.500 0.500 0.500
Sb1 Sb 0.000 0.000 0.500
Sb2 Sb 0.000 0.500 0.000
Sb3 Sb 0.500 0.000 0.000
```


Entry 6:
Density functional theory data (GGA-PBEsol) for a geometry-optimized MgH6Br2N2 structure.

Computed properties:
As for the symmetry: Pnma. The calculation puts the density of states at the Fermi level at 0.000 states/eV/atom. Its total energy is -4.63 eV per atom.

The structure in CIF format:
```
data_MgH6Br2N2
_chemical_formula_sum 'Mg4 H24 Br8 N8'
_space_group_name_H-M_alt 'P 1'
_space_group_IT_number 1
_space_group_name_Hall 'P 1'
_cell_length_a 5.878
_cell_length_b 7.895
_cell_length_c 11.750
_cell_angle_alpha 90.00
_cell_angle_beta 90.00
_cell_angle_gamma 90.00
loop_
_atom_site_label
_atom_site_type_symbol
_atom_site_fract_x
_atom_site_fract_y
_atom_site_fract_z
Mg1 Mg 0.000 0.250 0.001
Mg2 Mg 0.000 0.750 0.999
Mg3 Mg 0.500 0.250 0.499
Mg4 Mg 0.500 0.750 0.501
H1 H 0.084 0.250 0.396
H2 H 0.126 0.647 0.387
H3 H 0.126 0.853 0.387
H4 H 0.215 0.250 0.795
H5 H 0.237 0.647 0.814
H6 H 0.237 0.853 0.814
H7 H 0.263 0.147 0.314
H8 H 0.263 0.353 0.314
H9 H 0.285 0.750 0.295
H10 H 0.374 0.147 0.887
H11 H 0.374 0.353 0.887
H12 H 0.416 0.750 0.896
H13 H 0.584 0.250 0.104
H14 H 0.626 0.647 0.113
H15 H 0.626 0.853 0.113
H16 H 0.715 0.250 0.705
H17 H 0.737 0.647 0.686
H18 H 0.737 0.853 0.686
H19 H 0.763 0.147 0.186
H20 H 0.763 0.353 0.186
H21 H 0.785 0.750 0.205
H22 H 0.874 0.147 0.613
H23 H 0.874 0.353 0.613
H24 H 0.916 0.750 0.604
Br1 Br 0.225 0.503 0.114
Br2 Br 0.225 0.997 0.114
Br3 Br 0.275 0.003 0.614
Br4 Br 0.275 0.497 0.614
Br5 Br 0.725 0.503 0.386
Br6 Br 0.725 0.997 0.386
Br7 Br 0.775 0.003 0.886
Br8 Br 0.775 0.497 0.886
N1 N 0.232 0.750 0.378
N2 N 0.250 0.250 0.367
N3 N 0.250 0.750 0.867
N4 N 0.268 0.250 0.878
N5 N 0.732 0.750 0.122
N6 N 0.750 0.250 0.133
N7 N 0.750 0.750 0.633
N8 N 0.768 0.250 0.622
```


Entry 7:
Density functional theory data (GGA-PBEsol) for a geometry-optimized Mn3SbO8 structure.

Computed properties:
As for the symmetry: P6_3mc. The value obtained for the energy relative to the elements, uncorrected is -1.542 eV per atom. The calculation puts the density of states at the Fermi level at 0.375 states/eV/atom. Its total energy is -7.86 eV per atom.

The structure in CIF format:
```
data_Mn3SbO8
_chemical_formula_sum 'Mn6 Sb2 O16'
_space_group_name_H-M_alt 'P 1'
_space_group_IT_number 1
_space_group_name_Hall 'P 1'
_cell_length_a 5.653
_cell_length_b 5.653
_cell_length_c 9.263
_cell_angle_alpha 90.00
_cell_angle_beta 90.00
_cell_angle_gamma 120.00
loop_
_atom_site_label
_atom_site_type_symbol
_atom_site_fract_x
_atom_site_fract_y
_atom_site_fract_z
Mn1 Mn 0.168 0.336 0.000
Mn2 Mn 0.168 0.832 0.000
Mn3 Mn 0.336 0.168 0.500
Mn4 Mn 0.664 0.832 0.000
Mn5 Mn 0.832 0.168 0.500
Mn6 Mn 0.832 0.664 0.500
Sb1 Sb 0.333 0.667 0.724
Sb2 Sb 0.667 0.333 0.224
O1 O 0.000 0.000 0.400
O2 O 0.000 0.000 0.900
O3 O 0.031 0.516 0.880
O4 O 0.160 0.320 0.613
O5 O 0.160 0.840 0.613
O6 O 0.320 0.160 0.113
O7 O 0.333 0.667 0.105
O8 O 0.484 0.516 0.880
O9 O 0.484 0.969 0.880
O10 O 0.516 0.031 0.380
O11 O 0.516 0.484 0.380
O12 O 0.667 0.333 0.605
O13 O 0.680 0.840 0.613
O14 O 0.840 0.160 0.113
O15 O 0.840 0.680 0.113
O16 O 0.969 0.484 0.380
```


Entry 8:
Density functional theory data (GGA-PBEsol) for a geometry-optimized Y2BeAlBO7 structure.

Computed properties:
As for the symmetry: P2_1. The value obtained for the energy relative to the elements, uncorrected is -3.200 eV per atom. The calculation puts the density of states at the Fermi level at 0.000 states/eV/atom. Its total energy is -8.66 eV per atom.

The structure in CIF format:
```
data_Y2BeAlBO7
_chemical_formula_sum 'Y4 Be2 Al2 B2 O14'
_space_group_name_H-M_alt 'P 1'
_space_group_IT_number 1
_space_group_name_Hall 'P 1'
_cell_length_a 4.692
_cell_length_b 7.294
_cell_length_c 7.310
_cell_angle_alpha 90.00
_cell_angle_beta 90.01
_cell_angle_gamma 90.00
loop_
_atom_site_label
_atom_site_type_symbol
_atom_site_fract_x
_atom_site_fract_y
_atom_site_fract_z
Y1 Y 0.001 0.000 0.096
Y2 Y 0.013 0.325 0.423
Y3 Y 0.987 0.825 0.577
Y4 Y 0.999 0.500 0.904
Be1 Be 0.446 0.528 0.613
Be2 Be 0.554 0.028 0.387
Al1 Al 0.498 0.662 0.244
Al2 Al 0.502 0.162 0.756
B1 B 0.431 0.802 0.886
B2 B 0.569 0.302 0.114
O1 O 0.216 0.024 0.386
O2 O 0.261 0.307 0.104
O3 O 0.279 0.338 0.682
O4 O 0.280 0.584 0.421
O5 O 0.283 0.742 0.063
O6 O 0.289 0.982 0.841
O7 O 0.317 0.677 0.750
O8 O 0.683 0.177 0.250
O9 O 0.711 0.482 0.159
O10 O 0.717 0.242 0.937
O11 O 0.720 0.084 0.579
O12 O 0.721 0.838 0.318
O13 O 0.739 0.807 0.896
O14 O 0.784 0.524 0.614
```